Entry 1:
{
  "formula": "Ho3PdO",
  "functional": "PBE-GGA",
  "state": "optimized geometry",
  "vol_a3_per_atom": 20.37,
  "e_form_raw_ev_per_atom": -1.396,
  "magnetic_moment_mub_per_atom": 0.0000,
  "cell": [[-2.090, -1.767, 3.784], [0.733, -4.321, -1.613], [4.112, -0.128, 2.211]],
  "species": ["Ho", "Ho", "Ho", "O", "Pd"],
  "fractional_positions": [[0.500, 0.000, 0.000], [0.000, 0.000, 0.500], [0.000, 0.500, 0.000], [0.000, 0.000, 0.000], [0.500, 0.500, 0.500]]
}

Entry 2:
{
  "formula": "Ho2PdO",
  "functional": "PBE-GGA",
  "state": "optimized geometry",
  "vol_a3_per_atom": 17.40,
  "relative_energy_ev_per_atom": 0.501,
  "e_form_raw_ev_per_atom": -1.289,
  "magnetic_moment_mub_per_atom": 0.0000,
  "cell": [[-0.829, -0.374, -3.011], [2.800, -1.295, -0.611], [-2.610, -6.356, 1.508]],
  "species": ["Pd", "O", "Ho", "Ho"],
  "fractional_positions": [[0.500, 0.500, 0.500], [0.500, 0.500, 0.000], [0.000, 0.000, 0.226], [0.000, 0.000, 0.774]]
}